1.
First-principles (GGA-PBE) data for a geometry-optimized PaTlP2S8 structure, as listed in Alexandria via LeMat-Bulk.

Results
The value obtained for the formation energy (no corrections) is -6.49 eV per formula unit. The value obtained for the final energy is -62.19 eV per cell. The size of the total moment is 0.00 Bohr magnetons per cell. As for the volume: 312.8 Å³ per cell.

Cell lengths 6.1794, 6.1794, 10.1083 Å; angles 72.20, 72.20, 60.00 degrees
Sites, in units of the cell vectors:
Pa 0.0000 0.0000 0.0000
Tl 0.5000 0.5000 0.5000
P 0.2529 0.2529 0.2413
P 0.7471 0.7471 0.7587
S 0.1838 0.1838 0.4486
S 0.5895 0.2924 0.1641
S 0.8162 0.8162 0.5514
S 0.9540 0.5895 0.1641
S 0.0460 0.4105 0.8359
S 0.2924 0.9540 0.1641
S 0.7076 0.0460 0.8359
S 0.4105 0.7076 0.8359

2.
First-principles (GGA-PBE) data for a geometry-optimized CsZnP2S structure, as listed in Alexandria via LeMat-Bulk.

Results
As for the energy relative to the lowest polymorph listed for this composition: 0.00 eV per formula unit. The value obtained for the formation energy (no corrections) is 2.06 eV per formula unit. The value obtained for the final energy is -15.01 eV per cell. The size of the total moment is 0.85 Bohr magnetons per cell. As for the volume: 122.8 Å³ per cell.

Cell lengths 4.8601, 4.8601, 5.1978 Å; angles 90.00, 90.00, 90.00 degrees
Each line ends with the local moment (μB).
Sites, in units of the cell vectors:
Cs 0.5000 0.5000 0.5000  0.01
P 0.0000 0.5000 0.0000  0.17
P 0.5000 0.0000 0.0000  0.17
Zn 0.0000 0.0000 0.0000  0.00
S 0.0000 0.0000 0.5000  0.06

3.
First-principles (GGA-PBE) data for a geometry-optimized Na2Ag2Te structure, as listed in Alexandria via LeMat-Bulk.

Results
As for the energy relative to the lowest polymorph listed for this composition: 1.79 eV per formula unit. The value obtained for the formation energy (no corrections) is 0.62 eV per formula unit. The value obtained for the final energy is -10.86 eV per cell. The size of the total moment is 0.00 Bohr magnetons per cell. As for the volume: 126.5 Å³ per cell.

Cell lengths 4.3035, 4.3035, 7.4788 Å; angles 73.28, 73.28, 90.00 degrees
Sites, in units of the cell vectors:
Na 0.7500 0.2500 0.5000
Na 0.2500 0.7500 0.5000
Te 0.0000 0.0000 0.0000
Ag 0.4028 0.4028 0.1944
Ag 0.5972 0.5972 0.8056

4.
First-principles (GGA-PBE) data for a geometry-optimized PaSiSe2 structure, as listed in Alexandria via LeMat-Bulk.

Results
The value obtained for the formation energy (no corrections) is -1.47 eV per formula unit. The value obtained for the final energy is -23.36 eV per cell. The size of the total moment is 0.86 Bohr magnetons per cell. As for the volume: 106.4 Å³ per cell.

Cell lengths 3.6841, 3.6841, 9.2962 Å; angles 78.57, 78.57, 60.00 degrees
Each line ends with the local moment (μB).
Sites, in units of the cell vectors:
Si 0.0000 0.0000 0.0000  0.01
Pa 0.5000 0.5000 0.5000  0.64
Se 0.0961 0.0961 0.7117  -0.01
Se 0.9039 0.9039 0.2883  -0.01

5.
First-principles (GGA-PBE) data for a geometry-optimized Dy2BiSbO8 structure, as listed in Alexandria via LeMat-Bulk.

Results
The value obtained for the formation energy (no corrections) is -25.73 eV per formula unit. The value obtained for the final energy is -82.60 eV per cell. The size of the total moment is 0.00 Bohr magnetons per cell. As for the volume: 171.9 Å³ per cell.

Cell lengths 5.0579, 5.0566, 6.7295 Å; angles 90.00, 90.00, 92.56 degrees
Sites, in units of the cell vectors:
Dy 0.5000 0.5000 0.7560
Dy 0.5000 0.5000 0.2440
Bi 0.0000 0.0000 0.5000
Sb 0.0000 0.0000 0.0000
O 0.1828 0.8166 0.2360
O 0.7167 0.7171 0.0000
O 0.8172 0.1834 0.2361
O 0.8172 0.1834 0.7640
O 0.2833 0.2829 0.0000
O 0.1828 0.8166 0.7639
O 0.7022 0.7030 0.5000
O 0.2978 0.2970 0.5000

6.
First-principles (GGA-PBE) data for a geometry-optimized Tl2HgAs structure, as listed in Alexandria via LeMat-Bulk.

Results
As for the energy relative to the lowest polymorph listed for this composition: 0.00 eV per formula unit. The value obtained for the final energy is -9.52 eV per cell. As for the formation energy: 0.04 eV per atom. The size of the total moment is 0.00 Bohr magnetons per cell. As for the volume: 121.5 Å³ per cell.

Cell lengths 4.3869, 4.3869, 7.6958 Å; angles 73.62, 73.62, 60.19 degrees
Sites, in units of the cell vectors:
As 0.7500 0.7500 0.7500
Tl 0.0150 0.0150 0.9580
Tl 0.4850 0.4850 0.5420
Hg 0.2500 0.2500 0.2500

Q: The lowest volume belongs to which entry?
A: PaSiSe2

Q: Look up the size of the total moment of the first one.
A: 0.00 Bohr magnetons per cell

What did the first record say?
First-principles (GGA-PBE) data for a geometry-optimized PaTlP2S8 structure, as listed in Alexandria via LeMat-Bulk.

Results
The value obtained for the formation energy (no corrections) is -6.49 eV per formula unit. The value obtained for the final energy is -62.19 eV per cell. The size of the total moment is 0.00 Bohr magnetons per cell. As for the volume: 312.8 Å³ per cell.

Cell lengths 6.1794, 6.1794, 10.1083 Å; angles 72.20, 72.20, 60.00 degrees
Sites, in units of the cell vectors:
Pa 0.0000 0.0000 0.0000
Tl 0.5000 0.5000 0.5000
P 0.2529 0.2529 0.2413
P 0.7471 0.7471 0.7587
S 0.1838 0.1838 0.4486
S 0.5895 0.2924 0.1641
S 0.8162 0.8162 0.5514
S 0.9540 0.5895 0.1641
S 0.0460 0.4105 0.8359
S 0.2924 0.9540 0.1641
S 0.7076 0.0460 0.8359
S 0.4105 0.7076 0.8359